# 1
Below is ScNbZnB2 after structural relaxation, with properties calculated at the PBE level.

a = 4.2468 Å, b = 4.7575 Å, c = 4.2468 Å
α = 90.00°, β = 90.00°, γ = 90.00°
With the nearest neighbours (Å) after each atom.
Fractional positions:
B: 0.0000 0.0000 0.5000  2 Nb 2.12
B: 0.5000 0.0000 0.0000  2 Nb 2.12
Nb: 0.0000 0.0000 0.0000  4 B 2.12
Zn: 0.0000 0.5000 0.0000  2 Nb 2.38
Sc: 0.5000 0.5000 0.5000  4 Zn 3.00, 8 B 3.19

Properties
Formation energy from the elements in eV/atom: 0.713
D(E_F) in states/eV/atom: 0.24

# 2
Below is NbB3Se after structural relaxation, with properties calculated at the PBE level.

a = 4.3660 Å, b = 4.3660 Å, c = 4.3660 Å
α = 90.00°, β = 90.00°, γ = 90.00°
With the nearest neighbours (Å) after each atom.
Fractional positions:
B: 0.0000 0.0000 0.5000  2 Nb 2.18
B: 0.5000 0.0000 0.0000  2 Nb 2.18
B: 0.0000 0.5000 0.0000  2 Nb 2.18
Se: 0.5000 0.5000 0.5000  12 B 3.09
Nb: 0.0000 0.0000 0.0000  6 B 2.18

Properties
Distance to the lowest polymorph of the same formula in eV per atom: 0.000
Uncorrected formation energy in eV/atom: 1.839
D(E_F) in states/eV/atom: 0.76

# 3
Below is Nb3BSe after structural relaxation, with properties calculated at the PBE level.

a = 4.3870 Å, b = 4.3870 Å, c = 4.3870 Å
α = 90.00°, β = 90.00°, γ = 90.00°
With the nearest neighbours (Å) after each atom.
Fractional positions:
Nb: 0.5000 0.0000 0.0000  2 B 2.19
Nb: 0.0000 0.0000 0.5000  2 B 2.19
Nb: 0.0000 0.5000 0.0000  2 B 2.19
Se: 0.5000 0.5000 0.5000  12 Nb 3.10
B: 0.0000 0.0000 0.0000  6 Nb 2.19

Properties
Distance to the lowest polymorph of the same formula in eV per atom: 0.000
Uncorrected formation energy in eV/atom: 0.197
D(E_F) in states/eV/atom: 1.42